Here is a relaxed structure of Pm3Tm12Sc from Alexandria. Energies are from PBE-GGA.

abc: 4.958 4.958 19.817
angles: 90.00 90.00 90.00
Sites, in units of the cell vectors:
Tm (0.500, 0.500, 0.753)
Tm (0.000, 0.500, 0.373)
Tm (0.500, 0.500, 0.000)
Tm (0.500, 0.000, 0.627)
Tm (0.500, 0.000, 0.373)
Tm (0.000, 0.500, 0.880)
Tm (0.000, 0.500, 0.627)
Tm (0.500, 0.500, 0.500)
Tm (0.000, 0.500, 0.120)
Tm (0.500, 0.000, 0.880)
Tm (0.500, 0.000, 0.120)
Tm (0.500, 0.500, 0.247)
Sc (0.000, 0.000, 0.000)
Pm (0.000, 0.000, 0.248)
Pm (0.000, 0.000, 0.500)
Pm (0.000, 0.000, 0.752)

Results
Total magnetic moment ... 0.000 μB/f.u.
Formation enthalpy at 0 K ... 0.032 eV/atom
Energy ... -4.6083 eV per atom
SG ... P4/mmm, No. 123